This record from the Alexandria database describes DyCo6Ge6 after structural relaxation. The functional is PBE-GGA.

Computed properties:
crystal system: hexagonal
space-group type: P6/mmm
formation energy from the elements: -34 kJ per mole of atoms
volume: 13.6 Å³ per atom
magnetization: 0.000 μB/cell

Cell lengths 5.092, 5.092, 7.856 Å; angles 90.00, 90.00, 120.00 degrees
Fractional coordinates of all 13 atoms:
1 Dy 0.000 0.000 0.000
2 Co 0.500 0.500 0.749
3 Co 0.500 0.000 0.749
4 Co 0.000 0.500 0.749
5 Co 0.500 0.500 0.251
6 Co 0.500 0.000 0.251
7 Co 0.000 0.500 0.251
8 Ge 0.667 0.333 0.000
9 Ge 0.333 0.667 0.000
10 Ge 0.667 0.333 0.500
11 Ge 0.333 0.667 0.500
12 Ge 0.000 0.000 0.655
13 Ge 0.000 0.000 0.345